# PBE CrTeOs2, optimized geometry
# Fermi-level density of states   1.36 states/eV/atom
# Uncorrected energy   -7.781 eV/atom
# Crystal system   orthorhombic
data_CrTeOs2
_chemical_formula_sum 'Cr2 Te2 Os4'
_space_group_name_H-M_alt 'C m m 2'
_space_group_IT_number 35
_cell_length_a 2.951
_cell_length_b 4.921
_cell_length_c 9.254
_cell_angle_alpha 90.00
_cell_angle_beta 90.00
_cell_angle_gamma 90.00
loop_
_space_group_symop_operation_xyz
'x,y,z'
'-x,-y,z'
'-x,y,z'
'x,-y,z'
'x+1/2,y+1/2,z'
'-x+1/2,-y+1/2,z'
'-x+1/2,y+1/2,z'
'x+1/2,-y+1/2,z'
loop_
_atom_site_label
_atom_site_type_symbol
_atom_site_fract_x
_atom_site_fract_y
_atom_site_fract_z
Cr1 Cr 0.000 0.000 0.000
Te1 Te 0.000 0.500 0.737
Os1 Os 0.000 0.000 0.454
Os2 Os 0.000 0.500 0.218

---

# PBE NiBC3, optimized geometry
# Energy of formation from the pure elements   3.3 eV/f.u.
# Fermi-level density of states   0.27 states/eV/atom
# Crystal system   triclinic
data_NiBC3
_chemical_formula_sum 'Ni1 B1 C3'
_space_group_name_H-M_alt 'P 1'
_space_group_IT_number 1
_cell_length_a 3.223
_cell_length_b 3.730
_cell_length_c 5.046
_cell_angle_alpha 98.62
_cell_angle_beta 101.21
_cell_angle_gamma 112.83
loop_
_space_group_symop_operation_xyz
'x,y,z'
loop_
_atom_site_label
_atom_site_type_symbol
_atom_site_fract_x
_atom_site_fract_y
_atom_site_fract_z
Ni1 Ni 0.000 0.000 0.000
B1 B 0.696 0.398 0.951
C1 C 0.007 0.585 0.235
C2 C 0.220 0.805 0.484
C3 C 0.424 0.001 0.750

---

# PBE Mg2Al5, optimized geometry
# Energy of formation from the pure elements   0.2 eV/f.u.
# Fermi-level density of states   0.30 states/eV/atom
# Crystal system   monoclinic
data_Mg2Al5
_chemical_formula_sum 'Mg8 Al20'
_space_group_name_H-M_alt 'C 1 2/c 1'
_space_group_IT_number 15
_cell_length_a 13.487
_cell_length_b 5.092
_cell_length_c 7.421
_cell_angle_alpha 90.00
_cell_angle_beta 93.79
_cell_angle_gamma 90.00
loop_
_space_group_symop_operation_xyz
'x,y,z'
'-x,-y,-z'
'-x,y,-z+1/2'
'x,-y,z+1/2'
'x+1/2,y+1/2,z'
'-x+1/2,-y+1/2,-z'
'-x+1/2,y+1/2,-z+1/2'
'x+1/2,-y+1/2,z+1/2'
loop_
_atom_site_label
_atom_site_type_symbol
_atom_site_fract_x
_atom_site_fract_y
_atom_site_fract_z
Mg1 Mg 0.074 0.162 0.107
Al1 Al 0.000 0.345 0.750
Al2 Al 0.148 0.342 0.465
Al3 Al 0.215 0.174 0.820

---

# PBE HoPaCoPt, optimized geometry
# Energy of formation from the pure elements   -2.0 eV/f.u.
# Fermi-level density of states   1.49 states/eV/atom
# Crystal system   cubic
data_HoPaCoPt
_chemical_formula_sum 'Ho4 Pa4 Co4 Pt4'
_space_group_name_H-M_alt 'F -4 3 m'
_space_group_IT_number 216
_space_group_name_Hall 'F -4 2 3'
_cell_length_a 6.856
_cell_length_b 6.856
_cell_length_c 6.856
_cell_angle_alpha 90.00
_cell_angle_beta 90.00
_cell_angle_gamma 90.00
loop_
_atom_site_label
_atom_site_type_symbol
_atom_site_fract_x
_atom_site_fract_y
_atom_site_fract_z
Ho1 Ho 0.000 0.000 0.000
Pa1 Pa 0.000 0.000 0.500
Co1 Co 0.250 0.250 0.250
Pt1 Pt 0.250 0.250 0.750

---

# PBE HfCdAgF2, optimized geometry
# Fermi-level density of states   0.73 states/eV/atom
# Uncorrected energy   -3.717 eV/atom
# Crystal system   tetragonal
data_HfCdAgF2
_chemical_formula_sum 'Hf1 Cd1 Ag1 F2'
_space_group_name_H-M_alt 'P 4/m m m'
_space_group_IT_number 123
_space_group_name_Hall '-P 4 2'
_cell_length_a 4.384
_cell_length_b 4.384
_cell_length_c 5.526
_cell_angle_alpha 90.00
_cell_angle_beta 90.00
_cell_angle_gamma 90.00
loop_
_atom_site_label
_atom_site_type_symbol
_atom_site_fract_x
_atom_site_fract_y
_atom_site_fract_z
Hf1 Hf 0.000 0.000 0.000
Cd1 Cd 0.500 0.500 0.000
Ag1 Ag 0.000 0.000 0.500
F1 F 0.000 0.500 0.500

---

# PBE CdSb2, optimized geometry
# Fermi-level density of states   0.27 states/eV/atom
# Uncorrected energy   -2.934 eV/atom
# Crystal system   orthorhombic
data_CdSb2
_chemical_formula_sum 'Cd4 Sb8'
_space_group_name_H-M_alt 'C m c m'
_space_group_IT_number 63
_space_group_name_Hall '-C 2c 2'
_cell_length_a 4.249
_cell_length_b 19.241
_cell_length_c 4.205
_cell_angle_alpha 90.00
_cell_angle_beta 90.00
_cell_angle_gamma 90.00
loop_
_atom_site_label
_atom_site_type_symbol
_atom_site_fract_x
_atom_site_fract_y
_atom_site_fract_z
Cd1 Cd 0.000 0.107 0.250
Sb1 Sb 0.000 0.272 0.750
Sb2 Sb 0.000 0.446 0.250

---

# PBE Tl2AsSe4, optimized geometry
# Fermi-level density of states   0.56 states/eV/atom
# Uncorrected energy   -3.421 eV/atom
# Crystal system   tetragonal
data_Tl2AsSe4
_chemical_formula_sum 'Tl4 As2 Se8'
_space_group_name_H-M_alt 'I -4 2 m'
_space_group_IT_number 121
_space_group_name_Hall 'I -4 2'
_cell_length_a 7.529
_cell_length_b 7.529
_cell_length_c 10.259
_cell_angle_alpha 90.00
_cell_angle_beta 90.00
_cell_angle_gamma 90.00
loop_
_atom_site_label
_atom_site_type_symbol
_atom_site_fract_x
_atom_site_fract_y
_atom_site_fract_z
Tl1 Tl 0.000 0.500 0.250
As1 As 0.000 0.000 0.000
Se1 Se 0.191 0.191 0.115

---

# PBE CdAsPdSe2, optimized geometry
# Fermi-level density of states   0.87 states/eV/atom
# Uncorrected energy   -3.225 eV/atom
# Crystal system   tetragonal
data_CdAsPdSe2
_chemical_formula_sum 'Cd1 As1 Pd1 Se2'
_space_group_name_H-M_alt 'P 4/m m m'
_space_group_IT_number 123
_space_group_name_Hall '-P 4 2'
_cell_length_a 5.171
_cell_length_b 5.171
_cell_length_c 4.651
_cell_angle_alpha 90.00
_cell_angle_beta 90.00
_cell_angle_gamma 90.00
loop_
_atom_site_label
_atom_site_type_symbol
_atom_site_fract_x
_atom_site_fract_y
_atom_site_fract_z
Cd1 Cd 0.000 0.000 0.000
As1 As 0.500 0.500 0.000
Pd1 Pd 0.500 0.500 0.500
Se1 Se 0.000 0.500 0.500

---

# PBE Li4DyPu3S8, optimized geometry
# Fermi-level density of states   1.66 states/eV/atom
# Uncorrected energy   -7.136 eV/atom
# Crystal system   trigonal
data_Li4DyPu3S8
_chemical_formula_sum 'Li12 Dy3 Pu9 S24'
_space_group_name_H-M_alt 'R -3 m'
_space_group_IT_number 166
_space_group_name_Hall '-R 3 2"'
_cell_length_a 7.9071
_cell_length_b 7.9071
_cell_length_c 18.3563
_cell_angle_alpha 90.00
_cell_angle_beta 90.00
_cell_angle_gamma 120.00
loop_
_atom_site_label
_atom_site_type_symbol
_atom_site_fract_x
_atom_site_fract_y
_atom_site_fract_z
Li1 Li 0.0000 0.0000 0.0000
Li2 Li 0.0000 0.5000 0.0000
Dy1 Dy 0.0000 0.0000 0.5000
Pu1 Pu 0.0000 0.5000 0.5000
S1 S 0.0000 0.0000 0.2493
S2 S 0.0018 0.5009 0.2505

---

Number 1: total moment 4.1 μB/cell. Number 2: total moment 0.0 μB/cell. Number 3: total moment 0.0 μB/cell. Number 4: total moment 0.0 μB/cell. Number 5: total moment 1.4 μB/cell. Number 6: total moment 0.0 μB/cell. Number 7: total moment 0.0 μB/cell. Number 8: total moment 0.0 μB/cell. Number 9: total moment 45.0 μB/cell.